Entry 1
Material: Cr2AsF
Method: DFT, PBE with a Hubbard U
State: relaxed

Lattice parameters (Å, degrees): 5.627 5.627 5.627 111.27 111.27 105.94
Positions (direct):
Cr  0.088  0.625  0.963
Cr  0.375  0.338  0.463
Cr  0.662  0.125  0.037
Cr  0.875  0.912  0.537
As  0.250  0.750  0.500
As  0.500  0.500  0.000
F  0.000  0.000  0.000
F  0.750  0.250  0.500

Calculated values
DOS at the Fermi energy: 0.000 states/eV per atom
space-group type: I-42d
V: 17.1 Å³/atom

***

Entry 2
Material: Cr2AsF
Method: DFT, PBE with a Hubbard U
State: relaxed

Lattice parameters (Å, degrees): 4.431 4.431 4.431 60.00 60.00 60.00
Positions (direct):
Cr  0.250  0.250  0.250
Cr  0.750  0.750  0.750
As  0.000  0.000  0.000
F  0.500  0.500  0.500

Calculated values
DOS at the Fermi energy: 0.299 states/eV per atom
space-group type: Fm-3m
V: 15.4 Å³/atom

***

Most stable structure - entry 1; separation to the second - 9.4 kJ/mol of atoms.

***

Entry 1
Material: CrAs2F
Method: DFT, PBE with a Hubbard U
State: relaxed

Lattice parameters (Å, degrees): 4.455 4.455 4.455 60.00 60.00 60.00
Positions (direct):
Cr  0.000  0.000  0.000
As  0.250  0.250  0.250
As  0.750  0.750  0.750
F  0.500  0.500  0.500

Calculated values
DOS at the Fermi energy: 0.601 states/eV per atom
space-group type: Fm-3m
V: 15.6 Å³/atom

***

Entry 2
Material: CrAs2F
Method: DFT, PBE with a Hubbard U
State: relaxed

Lattice parameters (Å, degrees): 11.033 11.033 11.033 160.89 160.89 27.15
Positions (direct):
Cr  0.000  0.000  0.000
Cr  0.750  0.250  0.500
As  0.099  0.625  0.974
As  0.375  0.349  0.474
As  0.651  0.125  0.026
As  0.875  0.901  0.526
F  0.250  0.750  0.500
F  0.500  0.500  0.000

Calculated values
DOS at the Fermi energy: 0.441 states/eV per atom
space-group type: I-42d
V: 18.0 Å³/atom

***

Most stable structure - entry 2; separation to the second - 21.3 kJ/mol of atoms.

***

Entry 1
Material: CrAsN2F
Method: DFT, PBE with a Hubbard U
State: relaxed

Lattice parameters (Å, degrees): 3.817 3.817 3.997 90.00 90.00 90.00
Positions (direct):
Cr  0.000  0.000  0.000
As  0.500  0.500  0.500
N  0.000  0.500  0.500
N  0.500  0.000  0.500
F  0.500  0.500  0.000

Calculated values
DOS at the Fermi energy: 0.398 states/eV per atom
space-group type: P4/mmm
V: 11.6 Å³/atom

***

Entry 2
Material: CrAsN2F
Method: DFT, PBE with a Hubbard U
State: relaxed

Lattice parameters (Å, degrees): 3.962 3.962 3.767 90.00 90.00 90.00
Positions (direct):
Cr  0.000  0.000  0.000
As  0.500  0.500  0.500
N  0.000  0.500  0.000
N  0.500  0.000  0.000
F  0.000  0.000  0.500

Calculated values
DOS at the Fermi energy: 0.335 states/eV per atom
space-group type: P4/mmm
V: 11.8 Å³/atom

***

Most stable structure - entry 2; separation to the second - 11.5 kJ/mol of atoms.

***

Entry 1
Material: CrAs2SeF
Method: DFT, PBE with a Hubbard U
State: relaxed

Lattice parameters (Å, degrees): 4.628 4.628 4.596 90.00 90.00 90.00
Positions (direct):
Cr  0.000  0.000  0.000
As  0.000  0.500  0.000
As  0.500  0.000  0.000
Se  0.000  0.000  0.500
F  0.500  0.500  0.500

Calculated values
DOS at the Fermi energy: 0.774 states/eV per atom
space-group type: P4/mmm
V: 19.7 Å³/atom

***

Entry 2
Material: CrAs2SeF
Method: DFT, PBE with a Hubbard U
State: relaxed

Lattice parameters (Å, degrees): 4.325 4.325 5.255 90.00 90.00 90.00
Positions (direct):
Cr  0.000  0.000  0.000
As  0.000  0.500  0.500
As  0.500  0.000  0.500
Se  0.500  0.500  0.000
F  0.500  0.500  0.500

Calculated values
DOS at the Fermi energy: 0.534 states/eV per atom
space-group type: P4/mmm
V: 19.7 Å³/atom

***

Most stable structure - entry 2; separation to the second - 20.9 kJ/mol of atoms.